VASP calculation (GGA+U) on a geometry-optimized KCoGeO4 structure.

## Properties
final energy: -5.70 eV per atom
M_tot: 3.997 μB per formula unit

Unit cell a=5.334 b=5.621 c=6.949 alpha=90.00 beta=102.25 gamma=90.00
Fractional coordinates of all 14 atoms:
K (0.136, 0.250, 0.094)
K (0.864, 0.750, 0.906)
Co (0.164, 0.750, 0.476)
Co (0.836, 0.250, 0.524)
Ge (0.386, 0.250, 0.652)
Ge (0.614, 0.750, 0.348)
O (0.150, 0.022, 0.665)
O (0.150, 0.478, 0.665)
O (0.296, 0.750, 0.209)
O (0.467, 0.250, 0.417)
O (0.533, 0.750, 0.583)
O (0.704, 0.250, 0.791)
O (0.850, 0.522, 0.335)
O (0.850, 0.978, 0.335)